Compound: Pa3Fe9SiC2
Source: Alexandria via LeMat-Bulk
Functional: PBE
Structure: relaxed

abc: 5.3900 5.3900 7.8677
angles: 90.00 90.00 120.00
Fractional coordinates of all 15 atoms:
Pa  0.0000  0.0000  0.0000
Pa  0.3333  0.6667  0.6542
Pa  0.6667  0.3333  0.3458
Fe  0.0000  0.5000  0.0000
Fe  0.1672  0.3345  0.2797
Fe  0.1672  0.8328  0.2797
Fe  0.3345  0.1672  0.7203
Fe  0.5000  0.0000  0.0000
Fe  0.5000  0.5000  0.0000
Fe  0.6655  0.8328  0.2797
Fe  0.8328  0.1672  0.7203
Fe  0.8328  0.6655  0.7203
Si  0.0000  0.0000  0.5000
C  0.3333  0.6667  0.1440
C  0.6667  0.3333  0.8560

## Properties
V, A^3/atom: 13.20
Total energy, eV/atom: -8.76


Compound: NaLiMgBr4
Source: Alexandria via LeMat-Bulk
Functional: PBE
Structure: relaxed

abc: 8.1938 8.1938 8.1938
angles: 120.82 120.28 89.05
Fractional coordinates of all 14 atoms:
Na  0.5000  0.0000  0.0000
Na  0.5000  0.5000  0.5000
Li  0.1093  0.3593  0.7500
Li  0.8907  0.6407  0.2500
Mg  0.0000  0.0000  0.0000
Mg  0.5000  0.0000  0.5000
Br  0.2262  0.2278  0.9983
Br  0.2473  0.2298  0.4825
Br  0.2473  0.7648  0.0175
Br  0.2705  0.7722  0.4983
Br  0.7295  0.2278  0.5017
Br  0.7527  0.2352  0.9825
Br  0.7527  0.7702  0.5175
Br  0.7738  0.7722  0.0017

## Properties
V, A^3/atom: 27.55
Total energy, eV/atom: -3.14


Compound: AlV2As2
Source: Alexandria via LeMat-Bulk
Functional: PBE
Structure: relaxed

abc: 6.8452 6.8452 3.3030
angles: 90.00 90.00 90.00
Fractional coordinates of all 10 atoms:
Al  0.0000  0.0000  0.0000
Al  0.5000  0.5000  0.0000
V  0.1401  0.3599  0.0000
V  0.3599  0.8599  0.0000
V  0.6401  0.1401  0.0000
V  0.8599  0.6401  0.0000
As  0.1542  0.6542  0.5000
As  0.3458  0.1542  0.5000
As  0.6542  0.8458  0.5000
As  0.8458  0.3458  0.5000

## Properties
Distance to the lowest polymorph of the same formula, meV per atom: 0.0
V, A^3/atom: 15.48
Total energy, eV/atom: -6.44